(1)
Below is Rb3Ce2CoSe6 after structural relaxation, with properties calculated at the PBE-GGA level.

The value obtained for the formation energy (no corrections) is -1.229 eV/atom.

It has space group C2/m (No. 12), with a = 7.3001 Å, b = 12.6361 Å, c = 8.3103 Å, α = 90.00°, β = 107.08° and γ = 90.00°. The inequivalent atoms are Rb at (0.0000, 0.0000, 0.0000), Rb at (0.0000, 0.3319, 0.0000), Ce at (0.0000, 0.1665, 0.5000), Co at (0.0000, 0.5000, 0.5000), Se at (0.2214, 0.3417, 0.6889) and Se at (0.2458, 0.0000, 0.6903).



(2)
Below is CeCo2Re after structural relaxation, with properties calculated at the PBE-GGA level.

Its formation energy is 0.004 eV/atom.

It has space group R-3m (No. 166, hexagonal axes), with a = 4.1264 Å, b = 4.1264 Å, c = 14.3007 Å, α = 90.00°, β = 90.00° and γ = 120.00°. The inequivalent atoms are Ce at (0.0000, 0.0000, 0.0000), Co at (0.0000, 0.0000, 0.1981) and Re at (0.0000, 0.0000, 0.5000).



(3)
Below is CeCoRe after structural relaxation, with properties calculated at the PBE-GGA level.

Its formation energy is 0.404 eV/atom.

It has space group P4_12_12 (No. 92), with a = 6.5617 Å, b = 6.5617 Å, c = 6.0971 Å, α = 90.00°, β = 90.00° and γ = 90.00°. The inequivalent atoms are Ce at (0.2470, 0.2470, 0.0000), Co at (0.1324, 0.1324, 0.5000) and Re at (0.1201, 0.8799, 0.7500).



(4)
Below is Ce4CoRh after structural relaxation, with properties calculated at the PBE-GGA level.

The polymorph energy (0 for the lowest one) is 0.005 eV/atom. Its formation energy is -0.168 eV/atom.

It has space group I4_1md (No. 109), with a = 9.0223 Å, b = 9.0223 Å, c = 8.3330 Å, α = 90.00°, β = 90.00° and γ = 90.00°. The inequivalent atoms are Ce at (0.0000, 0.3022, 0.0000), Ce at (0.0000, 0.3054, 0.4766), Co at (0.0000, 0.0000, 0.9872) and Rh at (0.0000, 0.0000, 0.4898).



(5)
Below is Ce6CoRh3 after structural relaxation, with properties calculated at the PBE-GGA level.

Its formation energy is -0.412 eV/atom.

It has space group P2_1/m (No. 11), with a = 11.4868 Å, b = 3.8391 Å, c = 11.8487 Å, α = 90.00°, β = 115.48° and γ = 90.00°. The inequivalent atoms are Ce at (0.0277, 0.2500, 0.4198), Ce at (0.1370, 0.2500, 0.9864), Ce at (0.2188, 0.7500, 0.2729), Ce at (0.2504, 0.7500, 0.7758), Ce at (0.4129, 0.2500, 0.5677), Ce at (0.4227, 0.7500, 0.1410), Co at (0.4007, 0.2500, 0.3139), Rh at (0.0123, 0.2500, 0.1698), Rh at (0.2234, 0.7500, 0.5154) and Rh at (0.3866, 0.2500, 0.9598).



(6)
Below is Ce4CoRh after structural relaxation, with properties calculated at the PBE-GGA level.

The polymorph energy (0 for the lowest one) is 0.000 eV/atom. Its formation energy is -0.173 eV/atom.

It has space group Cmc2_1 (No. 36), with a = 3.6236 Å, b = 22.1014 Å, c = 6.9548 Å, α = 90.00°, β = 90.00° and γ = 90.00°. The inequivalent atoms are Ce at (0.0000, 0.0541, 0.0000), Ce at (0.0000, 0.3117, 0.1033), Ce at (0.0000, 0.3238, 0.5028), Ce at (0.0000, 0.4282, 0.9006), Co at (0.0000, 0.4519, 0.2134) and Rh at (0.0000, 0.1849, 0.2941).



(7)
Below is Ce12CoRh6 after structural relaxation, with properties calculated at the PBE-GGA level.

Its formation energy is -0.382 eV/atom.

It has space group R-3 (No. 148, hexagonal axes), with a = 11.9676 Å, b = 11.9676 Å, c = 12.1373 Å, α = 90.00°, β = 90.00° and γ = 120.00°. The inequivalent atoms are Ce at (0.0196, 0.8133, 0.3931), Ce at (0.0607, 0.8562, 0.8766), Co at (0.0000, 0.0000, 0.0000) and Rh at (0.0374, 0.7648, 0.6396).



(8)
Below is Ce3CoRh2 after structural relaxation, with properties calculated at the PBE-GGA level.

The polymorph energy (0 for the lowest one) is 0.036 eV/atom. Its formation energy is -0.491 eV/atom.

It has space group C2/c (No. 15), with a = 12.5182 Å, b = 5.6195 Å, c = 7.8614 Å, α = 90.00°, β = 108.19° and γ = 90.00°. The inequivalent atoms are Ce at (0.0000, 0.0008, 0.2500), Ce at (0.1572, 0.4982, 0.0788), Co at (0.0000, 0.4991, 0.7500) and Rh at (0.1694, 0.0018, 0.5847).



(9)
Below is Ce8Co2Rh after structural relaxation, with properties calculated at the PBE-GGA level.

Its formation energy is -0.149 eV/atom.

It has space group Cm (No. 8), with a = 7.5785 Å, b = 12.4001 Å, c = 5.6092 Å, α = 90.00°, β = 105.97° and γ = 90.00°. The inequivalent atoms are Ce at (0.0000, 0.0000, 0.0000), Ce at (0.0683, 0.3848, 0.7426), Ce at (0.1775, 0.1127, 0.5889), Ce at (0.2482, 0.5000, 0.3080), Ce at (0.4039, 0.2293, 0.1661), Co at (0.3273, 0.3139, 0.6151) and Rh at (0.3754, 0.0000, 0.1606).



(10)
Below is Ce3CoRh2 after structural relaxation, with properties calculated at the PBE-GGA level.

The polymorph energy (0 for the lowest one) is 0.000 eV/atom. Its formation energy is -0.527 eV/atom.

It has space group C2/c (No. 15), with a = 12.3708 Å, b = 5.8014 Å, c = 7.3107 Å, α = 90.00°, β = 105.00° and γ = 90.00°. The inequivalent atoms are Ce at (0.0000, 0.1000, 0.2500), Ce at (0.1617, 0.4170, 0.6251), Co at (0.0000, 0.3839, 0.7500) and Rh at (0.1608, 0.0951, 0.0188).



(11)
Below is Ce5Co2Rh2 after structural relaxation, with properties calculated at the PBE-GGA level.

Its formation energy is -0.366 eV/atom.

It has space group Ima2 (No. 46), with a = 17.5177 Å, b = 6.4427 Å, c = 6.8904 Å, α = 90.00°, β = 90.00° and γ = 90.00°. The inequivalent atoms are Ce at (0.0713, 0.1666, 0.0000), Ce at (0.1610, 0.6593, 0.8686), Ce at (0.2500, 0.1385, 0.7352), Co at (0.0000, 0.0000, 0.2823), Co at (0.2500, 0.0049, 0.0440) and Rh at (0.0678, 0.6108, 0.1682).



no.,calculated total energy (eV per formula unit)
1,-57.530
2,-32.578
3,-24.277
4,-39.203
5,-68.878
6,-39.233
7,-129.675
8,-42.559
9,-70.675
10,-42.773
11,-61.879